LaBeTlNi PBE relaxed; excess energy over the best structure of this formula in the dataset = 0.00 eV per formula unit; M_tot = 0.00 μB per cell
1.0
0.000 3.342 3.342
3.342 0.000 3.342
3.342 3.342 0.000
Be La Ni Tl
1 1 1 1
Direct
0.750 0.750 0.750
0.500 0.500 0.500
0.250 0.250 0.250
0.000 0.000 0.000



TbAsPd PBE relaxed; total DFT energy (no corrections) = -5.8299 eV/atom; M_tot = 0.00 μB per cell
1.0
6.240 0.000 0.000
0.000 3.942 0.000
0.000 0.000 10.209
As Pd Tb
4 4 4
Direct
0.322 0.250 0.156
0.822 0.250 0.344
0.178 0.750 0.656
0.678 0.750 0.844
0.124 0.750 0.055
0.624 0.750 0.445
0.376 0.250 0.555
0.876 0.250 0.945
0.672 0.750 0.138
0.172 0.750 0.362
0.828 0.250 0.638
0.328 0.250 0.862



LuTeAs PBE relaxed; total DFT energy (no corrections) = -4.4226 eV/atom; M_tot = 0.00 μB per cell
1.0
2.063 2.577 3.587
-1.247 4.663 0.680
-2.624 1.277 3.905
As Lu Te
1 1 1
Direct
0.000 0.000 0.000
0.250 0.250 0.250
0.750 0.750 0.750



ZrAgSb2 PBE relaxed; total DFT energy (no corrections) = -4.7792 eV/atom; M_tot = 0.27 μB per cell
1.0
-3.222 -3.869 -0.713
-0.264 -3.752 3.422
-4.113 -0.461 2.955
Ag Sb Zr
1 2 1
Direct
0.750 0.750 0.750
0.000 0.000 0.000
0.250 0.250 0.250
0.500 0.500 0.500



LaNd2Bi3 PBE relaxed; total DFT energy (no corrections) = -5.4315 eV/atom; M_tot = 0.00 μB per cell
1.0
-3.844 -0.025 2.555
4.130 -0.276 2.043
0.401 11.301 0.715
Bi La Nd
3 1 2
Direct
0.000 0.000 0.000
0.333 0.667 0.330
0.667 0.333 0.670
0.000 0.000 0.500
0.667 0.333 0.164
0.333 0.667 0.836



LiScTeOs PBE relaxed; excess energy over the best structure of this formula in the dataset = 1.14 eV per formula unit; M_tot = 0.00 μB per cell
1.0
2.519 -3.432 -1.665
-1.673 -4.253 -0.039
-1.152 -1.967 -3.962
Li Os Sc Te
1 1 1 1
Direct
0.750 0.750 0.750
0.500 0.500 0.500
0.000 0.000 0.000
0.250 0.250 0.250



Zr2Sc PBE relaxed; M_tot = 0.00 μB per cell; ΔH_f (0 K) = -0.021 eV per atom
1.0
5.639 0.000 0.000
0.000 9.716 0.000
0.000 0.000 5.113
Sc Zr
4 8
Direct
0.001 0.667 0.000
0.001 0.000 0.000
0.832 0.167 0.500
0.832 0.500 0.500
0.498 0.168 0.000
0.007 0.333 0.000
0.498 0.499 0.000
0.499 0.833 0.000
0.334 0.333 0.500
0.335 0.668 0.500
0.826 0.833 0.500
0.335 0.999 0.500



SnHg2Te3 PBE relaxed; total DFT energy (no corrections) = -2.3291 eV/atom
1.0
7.912 -2.135 0.000
7.912 2.135 0.000
0.000 0.000 10.852
Hg Sn Te
4 2 6
Direct
0.000 0.000 0.000
0.464 0.464 0.250
0.000 0.000 0.500
0.536 0.536 0.750
0.762 0.762 0.250
0.238 0.238 0.750
0.336 0.336 0.063
0.086 0.086 0.250
0.336 0.336 0.437
0.664 0.664 0.563
0.914 0.914 0.750
0.664 0.664 0.937



La2Nd PBE relaxed; excess energy over the best structure of this formula in the dataset = 0.00 eV per formula unit; M_tot = 0.40 μB per cell; ΔH_f (0 K) = 0.203 eV per atom
1.0
0.000 4.791 4.791
4.791 0.000 4.791
4.791 4.791 0.000
La Nd
4 2
Direct
0.625 0.625 0.125
0.625 0.125 0.625
0.125 0.625 0.625
0.625 0.625 0.625
0.000 0.000 0.000
0.250 0.250 0.250



NdAsOsO PBE relaxed; total DFT energy (no corrections) = -7.3183 eV/atom; M_tot = 0.00 μB per cell
1.0
-0.744 -5.527 -1.746
1.462 0.984 -3.738
5.889 -1.402 1.934
As Nd O Os
2 2 2 2
Direct
0.104 0.000 0.168
0.604 0.000 0.832
0.573 0.000 0.328
0.073 0.000 0.672
0.672 0.500 0.235
0.172 0.500 0.765
0.398 0.500 0.011
0.898 0.500 0.990



SrPmNi PBE relaxed; total DFT energy (no corrections) = -3.3158 eV/atom; M_tot = 0.00 μB per cell
1.0
0.000 3.444 3.444
3.444 0.000 3.444
3.444 3.444 0.000
Ni Pm Sr
1 1 1
Direct
0.500 0.500 0.500
0.250 0.250 0.250
0.000 0.000 0.000



Rb2Ho PBE relaxed; total DFT energy (no corrections) = -1.3532 eV/atom; M_tot = 2.69 μB per cell
1.0
3.859 -6.552 1.418
0.041 -2.999 7.130
-3.876 -6.530 1.471
Ho Rb
2 4
Direct
0.000 0.000 0.000
0.250 0.250 0.250
0.625 0.625 0.125
0.625 0.125 0.625
0.125 0.625 0.625
0.625 0.625 0.625



- Which formula does entry 10 have?
  NdAsOsO



Please write out number 9 again, unchanged.
La2Nd PBE relaxed; excess energy over the best structure of this formula in the dataset = 0.00 eV per formula unit; M_tot = 0.40 μB per cell; ΔH_f (0 K) = 0.203 eV per atom
1.0
0.000 4.791 4.791
4.791 0.000 4.791
4.791 4.791 0.000
La Nd
4 2
Direct
0.625 0.625 0.125
0.625 0.125 0.625
0.125 0.625 0.625
0.625 0.625 0.625
0.000 0.000 0.000
0.250 0.250 0.250



Please write out number 9 again, unchanged.
La2Nd PBE relaxed; excess energy over the best structure of this formula in the dataset = 0.00 eV per formula unit; M_tot = 0.40 μB per cell; ΔH_f (0 K) = 0.203 eV per atom
1.0
0.000 4.791 4.791
4.791 0.000 4.791
4.791 4.791 0.000
La Nd
4 2
Direct
0.625 0.625 0.125
0.625 0.125 0.625
0.125 0.625 0.625
0.625 0.625 0.625
0.000 0.000 0.000
0.250 0.250 0.250